Below is BaFeIr after structural relaxation, with properties calculated at the GGA-PBE level.

a b c (Å): 4.7881 4.3958 8.8305
angles (deg): 90.00 91.03 90.00
Last column: nearest neighbours and their distance in Å.
Positions (direct):
Ba (0.2424, 0.2500, 0.2122)  3 Ir 3.22-3.36, 3 Fe 3.25-3.45
Ba (0.7576, 0.7500, 0.7878)  3 Ir 3.22-3.36, 3 Fe 3.25-3.45
Fe (0.1452, 0.2500, 0.5760)  4 Ir 2.42-2.53
Fe (0.8548, 0.7500, 0.4240)  4 Ir 2.42-2.53
Ir (0.3459, 0.7500, 0.4952)  4 Fe 2.42-2.53, 2 Ir 2.65
Ir (0.6541, 0.2500, 0.5048)  4 Fe 2.42-2.53, 2 Ir 2.65

Calculated values
Calculated density: 6.89 g/cm3
VASP energy: -38.08 eV per cell
DOS at the Fermi energy: 5.670 states/eV/cell
Volume: 30.97 A^3/atom
Offset from the most stable computed form: 0.00 eV/f.u.
E_form: 20 kJ/mol of formula units

***

Below is Ba2FeIr after structural relaxation, with properties calculated at the GGA-PBE level.

a b c (Å): 5.2696 5.2696 5.2696
angles (deg): 60.00 60.00 60.00
Last column: nearest neighbours and their distance in Å.
Positions (direct):
Ba (0.0000, 0.0000, 0.0000)  4 Ir 3.23, 4 Ba 3.23
Ba (0.2500, 0.2500, 0.2500)  4 Fe 3.23, 4 Ba 3.23
Fe (0.5000, 0.5000, 0.5000)  4 Ba 3.23, 4 Ir 3.23
Ir (0.7500, 0.7500, 0.7500)  4 Fe 3.23, 4 Ba 3.23

Calculated values
Calculated density: 8.39 g/cm3
VASP energy: -18.39 eV per cell
DOS at the Fermi energy: 5.816 states/eV/cell
Volume: 25.87 A^3/atom
E_form: 268 kJ/mol of formula units

***

Below is Ba2FeIr after structural relaxation, with properties calculated at the GGA-PBE level.

a b c (Å): 8.6408 8.6408 8.6408
angles (deg): 30.74 30.74 30.74
Last column: nearest neighbours and their distance in Å.
Positions (direct):
Ba (0.2332, 0.2332, 0.2332)  3 Ir 3.11
Ba (0.7668, 0.7668, 0.7668)  3 Ir 3.11
Fe (0.0000, 0.0000, 0.0000)  6 Ba 3.62
Ir (0.5000, 0.5000, 0.5000)  6 Ba 3.11

Calculated values
Calculated density: 5.81 g/cm3
VASP energy: -18.18 eV per cell
DOS at the Fermi energy: 6.702 states/eV/cell
Volume: 37.36 A^3/atom
E_form: 288 kJ/mol of formula units

***

Below is BaFeIr after structural relaxation, with properties calculated at the GGA-PBE level.

a b c (Å): 6.2358 6.2358 6.2358
angles (deg): 147.69 147.69 46.34
Last column: nearest neighbours and their distance in Å.
Positions (direct):
Ba (0.0000, 0.0000, 0.0000)  1 Fe 3.10, 1 Ir 3.18, 4 Ba 3.47
Fe (0.2706, 0.2706, 0.0000)  4 Ir 2.51
Ir (0.7229, 0.7229, 0.0000)  4 Fe 2.51

Calculated values
Calculated density: 9.27 g/cm3
VASP energy: -18.30 eV per cell
DOS at the Fermi energy: 2.373 states/eV/cell
Volume: 23.01 A^3/atom
Offset from the most stable computed form: 0.74 eV/f.u.
E_form: 91 kJ/mol of formula units

***

Below is Ba2FeIr after structural relaxation, with properties calculated at the GGA-PBE level.

a b c (Å): 8.0493 8.0493 8.0493
angles (deg): 149.23 146.82 45.88
Last column: nearest neighbours and their distance in Å.
Positions (direct):
Ba (0.0000, 0.0000, 0.0000)  2 Fe 3.28, 4 Ir 3.43
Ba (0.7576, 0.2576, 0.5000)  2 Ir 3.19, 4 Fe 3.38
Fe (0.3418, 0.8418, 0.5000)  2 Ir 2.34
Ir (0.4072, 0.4072, 0.0000)  2 Fe 2.34

Calculated values
Calculated density: 5.96 g/cm3
VASP energy: -20.37 eV per cell
DOS at the Fermi energy: 6.395 states/eV/cell
Volume: 36.38 A^3/atom
E_form: 77 kJ/mol of formula units

***

Below is Ba2FeIr after structural relaxation, with properties calculated at the GGA-PBE level.

a b c (Å): 4.2679 4.2679 9.1802
angles (deg): 103.51 103.51 60.02
Last column: nearest neighbours and their distance in Å.
Positions (direct):
Ba (0.0000, 0.0000, 0.0000)  3 Ir 3.32-3.33, 3 Fe 3.33
Ba (0.1690, 0.1690, 0.5055)  3 Fe 3.32-3.33, 3 Ir 3.33
Fe (0.7512, 0.7512, 0.2529)  3 Ir 2.46
Ir (0.4178, 0.4178, 0.2526)  3 Fe 2.46

Calculated values
Calculated density: 6.22 g/cm3
VASP energy: -21.23 eV per cell
DOS at the Fermi energy: 3.005 states/eV/cell
Volume: 34.87 A^3/atom
E_form: -6 kJ/mol of formula units

***

Below is Ba2FeIr after structural relaxation, with properties calculated at the GGA-PBE level.

a b c (Å): 3.5747 3.5747 9.5196
angles (deg): 90.00 90.00 90.00
Last column: nearest neighbours and their distance in Å.
Positions (direct):
Ba (0.0000, 0.0000, 0.0000)  1 Fe 2.97
Ba (0.5000, 0.5000, 0.4263)  1 Ir 3.00
Fe (0.0000, 0.0000, 0.6882)  4 Ir 2.58
Ir (0.5000, 0.5000, 0.7414)  4 Fe 2.58

Calculated values
Calculated density: 7.14 g/cm3
VASP energy: -19.92 eV per cell
DOS at the Fermi energy: 5.434 states/eV/cell
Volume: 30.41 A^3/atom
E_form: 121 kJ/mol of formula units

***

Below is BaFeIr after structural relaxation, with properties calculated at the GGA-PBE level.

a b c (Å): 4.7906 4.7906 4.7906
angles (deg): 60.00 60.00 60.00
Last column: nearest neighbours and their distance in Å.
Positions (direct):
Ba (0.0000, 0.0000, 0.0000)  4 Fe 2.93, 4 Ir 2.93
Fe (0.7500, 0.7500, 0.7500)  4 Ba 2.93
Ir (0.2500, 0.2500, 0.2500)  4 Ba 2.93

Calculated values
Calculated density: 8.23 g/cm3
VASP energy: -14.34 eV per cell
DOS at the Fermi energy: 3.970 states/eV/cell
Volume: 25.91 A^3/atom
Offset from the most stable computed form: 4.70 eV/f.u.
E_form: 473 kJ/mol of formula units

***

Look up the calculated density of the eighth one.
8.23 g/cm3